! KFe2Sb GGA-PBE relaxed; values from VASP
&SYSTEM
  ibrav = 0, nat = 4, ntyp = 3
/
ATOMIC_SPECIES
K 39.10 K.upf
Fe 55.84 Fe.upf
Sb 121.76 Sb.upf
CELL_PARAMETERS angstrom
-1.491 2.875 5.310
1.491 -2.875 5.310
1.491 2.875 -5.310
ATOMIC_POSITIONS crystal
K 0.000 0.000 0.000
Fe 0.511 0.511 0.000
Fe 0.682 0.182 0.500
Sb 0.298 0.798 0.500
! Crystal system: orthorhombic
! Space group: Imm2
! E_form (uncorrected), eV per atom: 0.602
! Relative energy among the computed polymorphs, kJ per mole of atoms: 38.2

***

! KFe2Sb GGA-PBE relaxed; values from VASP
&SYSTEM
  ibrav = 0, nat = 4, ntyp = 3
/
ATOMIC_SPECIES
K 39.10 K.upf
Fe 55.84 Fe.upf
Sb 121.76 Sb.upf
CELL_PARAMETERS angstrom
4.528 0.000 0.000
0.000 4.528 0.000
0.000 0.000 4.028
ATOMIC_POSITIONS crystal
K 0.000 0.000 0.000
Fe 0.000 0.500 0.500
Fe 0.500 0.000 0.500
Sb 0.500 0.500 0.000
! Crystal system: tetragonal
! Space group: P4/mmm
! E_form (uncorrected), eV per atom: 0.932
! Relative energy among the computed polymorphs, kJ per mole of atoms: 70.0

***

! KFeSb2 GGA-PBE relaxed; values from VASP
&SYSTEM
  ibrav = 0, nat = 4, ntyp = 3
/
ATOMIC_SPECIES
K 39.10 K.upf
Fe 55.84 Fe.upf
Sb 121.76 Sb.upf
CELL_PARAMETERS angstrom
-2.162 3.417 4.297
2.162 -3.417 4.297
2.162 3.417 -4.297
ATOMIC_POSITIONS crystal
K 0.000 0.000 0.000
Fe 0.500 0.500 0.000
Sb 0.332 0.832 0.500
Sb 0.668 0.168 0.500
! Crystal system: orthorhombic
! Space group: Immm
! E_form (uncorrected), eV per atom: 0.175
! Relative energy among the computed polymorphs, kJ per mole of atoms: 22.5

***

! K2FeSb GGA-PBE relaxed; values from VASP
&SYSTEM
  ibrav = 0, nat = 8, ntyp = 3
/
ATOMIC_SPECIES
K 39.10 K.upf
Fe 55.84 Fe.upf
Sb 121.76 Sb.upf
CELL_PARAMETERS angstrom
-6.463 6.463 2.473
6.463 -6.463 2.473
6.463 6.463 -2.473
ATOMIC_POSITIONS crystal
K 0.375 0.115 0.240
K 0.865 0.625 0.740
K 0.875 0.135 0.760
K 0.885 0.125 0.260
Fe 0.000 0.000 0.000
Fe 0.750 0.250 0.500
Sb 0.250 0.750 0.500
Sb 0.500 0.500 0.000
! Crystal system: tetragonal
! Space group: I-42d
! E_form (uncorrected), eV per atom: 0.218

***

! KFeSb2 GGA-PBE relaxed; values from VASP
&SYSTEM
  ibrav = 0, nat = 4, ntyp = 3
/
ATOMIC_SPECIES
K 39.10 K.upf
Fe 55.84 Fe.upf
Sb 121.76 Sb.upf
CELL_PARAMETERS angstrom
4.740 0.000 0.000
0.000 4.740 0.000
0.000 0.000 4.521
ATOMIC_POSITIONS crystal
K 0.000 0.000 0.000
Fe 0.500 0.500 0.000
Sb 0.000 0.500 0.500
Sb 0.500 0.000 0.500
! Crystal system: tetragonal
! Space group: P4/mmm
! E_form (uncorrected), eV per atom: 0.491
! Relative energy among the computed polymorphs, kJ per mole of atoms: 53.0

***

! KFe2Sb GGA-PBE relaxed; values from VASP
&SYSTEM
  ibrav = 0, nat = 4, ntyp = 3
/
ATOMIC_SPECIES
K 39.10 K.upf
Fe 55.84 Fe.upf
Sb 121.76 Sb.upf
CELL_PARAMETERS angstrom
-2.432 2.432 3.434
2.432 -2.432 3.434
2.432 2.432 -3.434
ATOMIC_POSITIONS crystal
K 0.000 0.000 0.000
Fe 0.500 0.500 0.000
Fe 0.750 0.250 0.500
Sb 0.250 0.750 0.500
! Crystal system: tetragonal
! Space group: I-4m2
! E_form (uncorrected), eV per atom: 0.857
! Relative energy among the computed polymorphs, kJ per mole of atoms: 62.8

***

! KFeSb GGA-PBE relaxed; values from VASP
&SYSTEM
  ibrav = 0, nat = 3, ntyp = 3
/
ATOMIC_SPECIES
K 39.10 K.upf
Fe 55.84 Fe.upf
Sb 121.76 Sb.upf
CELL_PARAMETERS angstrom
-1.786 1.786 6.261
1.786 -1.786 6.261
1.786 1.786 -6.261
ATOMIC_POSITIONS crystal
K 0.000 0.000 0.000
Fe 0.722 0.722 0.000
Sb 0.281 0.281 0.000
! Crystal system: tetragonal
! Space group: I4mm
! E_form (uncorrected), eV per atom: 0.258

***

! KFeSb2 GGA-PBE relaxed; values from VASP
&SYSTEM
  ibrav = 0, nat = 4, ntyp = 3
/
ATOMIC_SPECIES
K 39.10 K.upf
Fe 55.84 Fe.upf
Sb 121.76 Sb.upf
CELL_PARAMETERS angstrom
1.838 1.061 8.956
-1.838 1.061 8.956
0.000 -2.122 8.956
ATOMIC_POSITIONS crystal
K 0.000 0.000 0.000
Fe 0.500 0.500 0.500
Sb 0.225 0.225 0.225
Sb 0.775 0.775 0.775
! Crystal system: trigonal
! Space group: R-3m
! E_form (uncorrected), eV per atom: -0.025
! Relative energy among the computed polymorphs, kJ per mole of atoms: 3.3

***

! KFeSb GGA-PBE relaxed; values from VASP
&SYSTEM
  ibrav = 0, nat = 3, ntyp = 3
/
ATOMIC_SPECIES
K 39.10 K.upf
Fe 55.84 Fe.upf
Sb 121.76 Sb.upf
CELL_PARAMETERS angstrom
0.000 3.686 3.686
3.686 0.000 3.686
3.686 3.686 0.000
ATOMIC_POSITIONS crystal
K 0.000 0.000 0.000
Fe 0.250 0.250 0.250
Sb 0.750 0.750 0.750
! Crystal system: cubic
! Space group: F-43m
! E_form (uncorrected), eV per atom: 1.286

***

! KScFe2Sb GGA-PBE relaxed; values from VASP
&SYSTEM
  ibrav = 0, nat = 5, ntyp = 4
/
ATOMIC_SPECIES
K 39.10 K.upf
Sc 44.96 Sc.upf
Fe 55.84 Fe.upf
Sb 121.76 Sb.upf
CELL_PARAMETERS angstrom
4.564 0.000 0.000
0.000 4.564 0.000
0.000 0.000 5.036
ATOMIC_POSITIONS crystal
K 0.000 0.000 0.000
Sc 0.000 0.000 0.500
Fe 0.000 0.500 0.000
Fe 0.500 0.000 0.000
Sb 0.500 0.500 0.500
! Crystal system: tetragonal
! Space group: P4/mmm
! E_form (uncorrected), eV per atom: 1.752

***

! KSrFe2Sb GGA-PBE relaxed; values from VASP
&SYSTEM
  ibrav = 0, nat = 5, ntyp = 4
/
ATOMIC_SPECIES
K 39.10 K.upf
Sr 87.62 Sr.upf
Fe 55.84 Fe.upf
Sb 121.76 Sb.upf
CELL_PARAMETERS angstrom
5.196 0.000 0.000
0.000 5.196 0.000
0.000 0.000 5.686
ATOMIC_POSITIONS crystal
K 0.000 0.000 0.000
Sr 0.000 0.000 0.500
Fe 0.000 0.500 0.500
Fe 0.500 0.000 0.500
Sb 0.500 0.500 0.000
! Crystal system: tetragonal
! Space group: P4/mmm
! E_form (uncorrected), eV per atom: 1.575

***

! KFeSbTe2 GGA-PBE relaxed; values from VASP
&SYSTEM
  ibrav = 0, nat = 5, ntyp = 4
/
ATOMIC_SPECIES
K 39.10 K.upf
Fe 55.84 Fe.upf
Sb 121.76 Sb.upf
Te 127.60 Te.upf
CELL_PARAMETERS angstrom
5.447 0.000 0.000
0.000 5.447 0.000
0.000 0.000 4.814
ATOMIC_POSITIONS crystal
K 0.000 0.000 0.000
Fe 0.500 0.500 0.500
Sb 0.500 0.500 0.000
Te 0.000 0.500 0.500
Te 0.500 0.000 0.500
! Crystal system: tetragonal
! Space group: P4/mmm
! E_form (uncorrected), eV per atom: -0.025

***

> What is the formula in the tenth record?

KScFe2Sb